w | # FeAs4Os | Alexandria | GGA-PBE | optimized geometry
data_FeAs4Os
_space_group_name_H-M_alt 'F -4 3 m'
_space_group_IT_number 216
_space_group_name_Hall 'F -4 2 3'
_cell_length_a 7.5236
_cell_length_b 7.5236
_cell_length_c 7.5236
_cell_angle_alpha 90.00
_cell_angle_beta 90.00
_cell_angle_gamma 90.00
loop_
_atom_site_label
_atom_site_type_symbol
_atom_site_fract_x
_atom_site_fract_y
_atom_site_fract_z
_atom_site_occupancy
Fe1 Fe 0.0000 0.0000 0.0000 1
As1 As 0.1249 0.1249 0.3751 1
Os1 Os 0.2500 0.2500 0.7500 1
# Volume = 17.7 Å³ per atom
# Crystal system = cubic
# Total magnetization = 8.172 Bohr magnetons per cell
# ρ = 8512 kg/m3
# Density of states at the Fermi level = 1.01 states/eV/atom

x | # FeAs4Os | Alexandria | GGA-PBE | optimized geometry
data_FeAs4Os
_space_group_name_H-M_alt 'P 1 21/c 1'
_space_group_IT_number 14
_space_group_name_Hall '-P 2ybc'
_cell_length_a 5.7840
_cell_length_b 6.1841
_cell_length_c 6.0663
_cell_angle_alpha 90.00
_cell_angle_beta 101.77
_cell_angle_gamma 90.00
loop_
_atom_site_label
_atom_site_type_symbol
_atom_site_fract_x
_atom_site_fract_y
_atom_site_fract_z
_atom_site_occupancy
Fe1 Fe 0.0000 0.0000 0.0000 1
As1 As 0.0930 0.1391 0.3889 1
As2 As 0.3984 0.6326 0.3545 1
Os1 Os 0.5000 0.0000 0.5000 1
# Volume = 17.7 Å³ per atom
# Crystal system = monoclinic
# Total magnetization = 4.177 Bohr magnetons per cell
# ρ = 8533 kg/m3
# Density of states at the Fermi level = 0.81 states/eV/atom

The energy of each structure relative to the most stable one, in kJ/mol of atoms, is as follows: w 102.0; x 0.0.

w | # Fe3AsP | Alexandria | GGA-PBE | optimized geometry
data_Fe3AsP
_space_group_name_H-M_alt 'P m -3 m'
_space_group_IT_number 221
_space_group_name_Hall '-P 4 2 3'
_cell_length_a 4.3575
_cell_length_b 4.3575
_cell_length_c 4.3575
_cell_angle_alpha 90.00
_cell_angle_beta 90.00
_cell_angle_gamma 90.00
loop_
_atom_site_label
_atom_site_type_symbol
_atom_site_fract_x
_atom_site_fract_y
_atom_site_fract_z
_atom_site_occupancy
Fe1 Fe 0.0000 0.0000 0.5000 1
As1 As 0.0000 0.0000 0.0000 1
P1 P 0.5000 0.5000 0.5000 1
# Volume = 16.5 Å³ per atom
# Crystal system = cubic
# Total magnetization = 5.957 Bohr magnetons per cell
# ρ = 5487 kg/m3
# Density of states at the Fermi level = 0.74 states/eV/atom

x | # Fe3AsP | Alexandria | GGA-PBE | optimized geometry
data_Fe3AsP
_space_group_name_H-M_alt 'P m -3 m'
_space_group_IT_number 221
_space_group_name_Hall '-P 4 2 3'
_cell_length_a 4.1969
_cell_length_b 4.1969
_cell_length_c 4.1969
_cell_angle_alpha 90.00
_cell_angle_beta 90.00
_cell_angle_gamma 90.00
loop_
_atom_site_label
_atom_site_type_symbol
_atom_site_fract_x
_atom_site_fract_y
_atom_site_fract_z
_atom_site_occupancy
Fe1 Fe 0.0000 0.0000 0.5000 1
As1 As 0.5000 0.5000 0.5000 1
P1 P 0.0000 0.0000 0.0000 1
# Volume = 14.8 Å³ per atom
# Crystal system = cubic
# Total magnetization = 5.781 Bohr magnetons per cell
# ρ = 6142 kg/m3
# Density of states at the Fermi level = 0.68 states/eV/atom

The energy of each structure relative to the most stable one, in kJ/mol of atoms, is as follows: w 56.7; x 0.0.

w | # Fe2As2P | Alexandria | GGA-PBE | optimized geometry
data_Fe2As2P
_space_group_name_H-M_alt 'I 4/m m m'
_space_group_IT_number 139
_space_group_name_Hall '-I 4 2'
_cell_length_a 3.6918
_cell_length_b 3.6918
_cell_length_c 11.4453
_cell_angle_alpha 90.00
_cell_angle_beta 90.00
_cell_angle_gamma 90.00
loop_
_atom_site_label
_atom_site_type_symbol
_atom_site_fract_x
_atom_site_fract_y
_atom_site_fract_z
_atom_site_occupancy
Fe1 Fe 0.0000 0.0000 0.1060 1
As1 As 0.0000 0.5000 0.2500 1
P1 P 0.0000 0.0000 0.5000 1
# Volume = 15.6 Å³ per atom
# Crystal system = tetragonal
# Total magnetization = 8.414 Bohr magnetons per cell
# ρ = 6228 kg/m3
# Density of states at the Fermi level = 1.04 states/eV/atom

x | # Fe2As2P | Alexandria | GGA-PBE | optimized geometry
data_Fe2As2P
_space_group_name_H-M_alt 'P 4/m b m'
_space_group_IT_number 127
_space_group_name_Hall '-P 4 2ab'
_cell_length_a 6.9327
_cell_length_b 6.9327
_cell_length_c 2.7781
_cell_angle_alpha 90.00
_cell_angle_beta 90.00
_cell_angle_gamma 90.00
loop_
_atom_site_label
_atom_site_type_symbol
_atom_site_fract_x
_atom_site_fract_y
_atom_site_fract_z
_atom_site_occupancy
Fe1 Fe 0.1445 0.3555 0.0000 1
As1 As 0.1488 0.6488 0.5000 1
P1 P 0.0000 0.0000 0.0000 1
# Volume = 13.4 Å³ per atom
# Crystal system = tetragonal
# Total magnetization = 0.000 Bohr magnetons per cell
# ρ = 7276 kg/m3
# Density of states at the Fermi level = 1.02 states/eV/atom

The energy of each structure relative to the most stable one, in kJ/mol of atoms, is as follows: w 20.5; x 0.0.

w | # Pa2FeAs | Alexandria | GGA-PBE | optimized geometry
data_Pa2FeAs
_space_group_name_H-M_alt 'R -3 m'
_space_group_IT_number 166
_space_group_name_Hall '-R 3 2"'
_cell_length_a 3.8275
_cell_length_b 3.8275
_cell_length_c 20.7922
_cell_angle_alpha 90.00
_cell_angle_beta 90.00
_cell_angle_gamma 120.00
loop_
_atom_site_label
_atom_site_type_symbol
_atom_site_fract_x
_atom_site_fract_y
_atom_site_fract_z
_atom_site_occupancy
Pa1 Pa 0.0000 0.0000 0.2384 1
Fe1 Fe 0.0000 0.0000 0.5000 1
As1 As 0.0000 0.0000 0.0000 1
# Volume = 22.0 Å³ per atom
# Crystal system = trigonal
# Total magnetization = 0.000 Bohr magnetons per cell
# ρ = 11196 kg/m3
# Density of states at the Fermi level = 1.04 states/eV/atom

x | # Pa2FeAs | Alexandria | GGA-PBE | optimized geometry
data_Pa2FeAs
_space_group_name_H-M_alt 'P 1 21/m 1'
_space_group_IT_number 11
_space_group_name_Hall '-P 2yb'
_cell_length_a 5.8837
_cell_length_b 3.7115
_cell_length_c 8.0053
_cell_angle_alpha 90.00
_cell_angle_beta 111.54
_cell_angle_gamma 90.00
loop_
_atom_site_label
_atom_site_type_symbol
_atom_site_fract_x
_atom_site_fract_y
_atom_site_fract_z
_atom_site_occupancy
Pa1 Pa 0.1780 0.2500 0.3911 1
Pa2 Pa 0.2567 0.7500 0.0483 1
Fe1 Fe 0.1430 0.2500 0.7876 1
As1 As 0.3699 0.7500 0.7026 1
# Volume = 20.3 Å³ per atom
# Crystal system = monoclinic
# Total magnetization = 0.000 Bohr magnetons per cell
# ρ = 12108 kg/m3
# Density of states at the Fermi level = 1.23 states/eV/atom

The energy of each structure relative to the most stable one, in kJ/mol of atoms, is as follows: w 5.9; x 0.0.